Version i
# PBE La2GdO, optimized geometry
data_La2GdO
_chemical_formula_sum 'La2 Gd1 O1'
_symmetry_space_group_name_H-M 'P 4/m m m'
_symmetry_Int_Tables_number 123
_symmetry_space_group_name_Hall '-P 4 2'
_cell_length_a 3.267
_cell_length_b 3.267
_cell_length_c 9.460
_cell_angle_alpha 90.00
_cell_angle_beta 90.00
_cell_angle_gamma 90.00
loop_
_atom_site_label
_atom_site_type_symbol
_atom_site_fract_x
_atom_site_fract_y
_atom_site_fract_z
_atom_site_occupancy
La1 La 0.000 0.000 0.165 1
Gd1 Gd 0.500 0.500 0.500 1
O1 O 0.500 0.500 0.000 1
# - volume (Å³/atom) = 25.24

Version ii
# PBE La2GdO, optimized geometry
data_La2GdO
_chemical_formula_sum 'La6 Gd3 O3'
_symmetry_space_group_name_H-M 'R -3 m'
_symmetry_Int_Tables_number 166
_symmetry_space_group_name_Hall '-R 3 2"'
_cell_length_a 3.6719
_cell_length_b 3.6719
_cell_length_c 28.6658
_cell_angle_alpha 90.00
_cell_angle_beta 90.00
_cell_angle_gamma 120.00
loop_
_atom_site_label
_atom_site_type_symbol
_atom_site_fract_x
_atom_site_fract_y
_atom_site_fract_z
_atom_site_occupancy
La1 La 0.0000 0.0000 0.1175 1
Gd1 Gd 0.0000 0.0000 0.0000 1
O1 O 0.0000 0.0000 0.5000 1
# - volume (Å³/atom) = 27.89

Most stable: version ii. Least stable: version i.

Version i
# PBE LaGd2Os, optimized geometry
data_LaGd2Os
_chemical_formula_sum 'La3 Gd6 Os3'
_symmetry_space_group_name_H-M 'R -3 m'
_symmetry_Int_Tables_number 166
_symmetry_space_group_name_Hall '-R 3 2"'
_cell_length_a 3.7821
_cell_length_b 3.7821
_cell_length_c 31.8374
_cell_angle_alpha 90.00
_cell_angle_beta 90.00
_cell_angle_gamma 120.00
loop_
_atom_site_label
_atom_site_type_symbol
_atom_site_fract_x
_atom_site_fract_y
_atom_site_fract_z
_atom_site_occupancy
La1 La 0.0000 0.0000 0.0000 1
Gd1 Gd 0.0000 0.0000 0.1137 1
Os1 Os 0.0000 0.0000 0.5000 1
# - volume (Å³/atom) = 32.87

Version ii
# PBE LaGd2Os, optimized geometry
data_LaGd2Os
_chemical_formula_sum 'La1 Gd2 Os1'
_symmetry_space_group_name_H-M 'P 4/m m m'
_symmetry_Int_Tables_number 123
_symmetry_space_group_name_Hall '-P 4 2'
_cell_length_a 3.450
_cell_length_b 3.450
_cell_length_c 9.551
_cell_angle_alpha 90.00
_cell_angle_beta 90.00
_cell_angle_gamma 90.00
loop_
_atom_site_label
_atom_site_type_symbol
_atom_site_fract_x
_atom_site_fract_y
_atom_site_fract_z
_atom_site_occupancy
La1 La 0.000 0.000 0.000 1
Gd1 Gd 0.500 0.500 0.325 1
Os1 Os 0.000 0.000 0.500 1
# - volume (Å³/atom) = 28.42

Most stable: version ii. Least stable: version i.